one | Material: Dy4Er5Sc
Method: DFT, PBE-GGA
State: optimized geometry

a b c (Å): 3.435 10.770 8.836
angles (deg): 73.40 101.21 90.00
Fractional coordinates of all 10 atoms:
Er1 0.794 0.598 0.587
Dy1 0.092 0.192 0.184
Dy2 0.696 0.917 0.392
Er2 0.894 0.287 0.788
Er3 0.106 0.713 0.212
Er4 0.500 0.500 0.000
Er5 0.206 0.402 0.413
Dy3 0.908 0.808 0.816
Dy4 0.304 0.083 0.608
Sc1 0.500 0.000 0.000

Values from the calculation:
* DOS at the Fermi energy: 17.632 states/eV/f.u.



two | Material: Dy4Er5Sc
Method: DFT, PBE-GGA
State: optimized geometry

a b c (Å): 5.696 7.965 7.965
angles (deg): 82.65 69.05 69.05
Fractional coordinates of all 10 atoms:
Er1 0.771 0.374 0.000
Er2 0.677 0.000 0.000
Er3 0.145 0.000 0.626
Sc1 0.206 0.000 0.000
Er4 0.771 0.000 0.374
Dy1 0.771 0.677 0.677
Dy2 0.449 0.323 0.677
Dy3 0.449 0.677 0.323
Dy4 0.126 0.323 0.323
Er5 0.145 0.626 0.000

Values from the calculation:
* DOS at the Fermi energy: 13.121 states/eV/f.u.



Stability, lowest: two



one | Material: DyEr6Sc
Method: DFT, PBE-GGA
State: optimized geometry

a b c (Å): 6.891 6.891 6.891
angles (deg): 110.19 110.19 110.19
Fractional coordinates of all 8 atoms:
Sc1 0.500 0.500 0.500
Er1 0.251 0.251 0.739
Dy1 0.000 0.000 0.000
Er2 0.251 0.739 0.251
Er3 0.749 0.261 0.749
Er4 0.749 0.749 0.261
Er5 0.261 0.749 0.749
Er6 0.739 0.251 0.251

Values from the calculation:
* DOS at the Fermi energy: 16.129 states/eV/f.u.



two | Material: DyEr6Sc
Method: DFT, PBE-GGA
State: optimized geometry

a b c (Å): 6.662 6.421 6.734
angles (deg): 77.36 61.79 91.88
Fractional coordinates of all 8 atoms:
Er1 0.582 0.738 0.508
Sc1 0.000 0.000 0.000
Er2 0.418 0.262 0.492
Dy1 0.000 0.500 0.000
Er3 0.095 0.773 0.468
Er4 0.441 0.248 0.004
Er5 0.559 0.752 0.996
Er6 0.905 0.227 0.532

Values from the calculation:
* DOS at the Fermi energy: 13.785 states/eV/f.u.



Stability, lowest: one



one | Material: Dy4Er2Sc
Method: DFT, PBE-GGA
State: optimized geometry

a b c (Å): 6.052 6.449 11.296
angles (deg): 90.00 105.28 90.00
Fractional coordinates of all 14 atoms:
Er1 0.388 0.250 0.999
Er2 0.612 0.750 0.001
Dy1 0.646 0.995 0.286
Dy2 0.646 0.505 0.286
Sc1 0.157 0.750 0.163
Sc2 0.843 0.250 0.837
Dy3 0.965 0.250 0.132
Dy4 0.354 0.495 0.714
Er3 0.716 0.750 0.576
Er4 0.284 0.250 0.424
Dy5 0.035 0.750 0.868
Dy6 0.148 0.750 0.441
Dy7 0.852 0.250 0.559
Dy8 0.354 0.005 0.714

Values from the calculation:
* DOS at the Fermi energy: 11.668 states/eV/f.u.



two | Material: Dy4Er2Sc
Method: DFT, PBE-GGA
State: optimized geometry

a b c (Å): 5.427 11.973 13.304
angles (deg): 90.00 90.00 90.00
Fractional coordinates of all 28 atoms:
Sc1 0.500 0.000 0.000
Er1 0.500 0.430 0.844
Dy1 0.999 0.141 0.680
Dy2 0.001 0.859 0.320
Dy3 0.001 0.757 0.075
Dy4 0.999 0.243 0.925
Er2 0.000 0.070 0.156
Dy5 0.501 0.743 0.925
Dy6 0.499 0.141 0.820
Dy7 0.501 0.757 0.425
Dy8 0.501 0.859 0.180
Dy9 0.001 0.641 0.820
Er3 0.000 0.430 0.656
Dy10 0.499 0.257 0.075
Sc2 0.000 0.000 0.500
Dy11 0.499 0.359 0.320
Er4 0.500 0.930 0.656
Dy12 0.501 0.641 0.680
Er5 0.000 0.930 0.844
Sc3 0.500 0.500 0.500
Dy13 0.999 0.257 0.425
Dy14 0.001 0.743 0.575
Er6 0.500 0.570 0.156
Sc4 0.000 0.500 0.000
Dy15 0.499 0.243 0.575
Er7 0.500 0.070 0.344
Dy16 0.999 0.359 0.180
Er8 0.000 0.570 0.344

Values from the calculation:
* DOS at the Fermi energy: 10.915 states/eV/f.u.



Stability, lowest: two



one | Material: Dy8ErSc2
Method: DFT, PBE-GGA
State: optimized geometry

a b c (Å): 5.761 9.079 9.079
angles (deg): 121.71 105.60 105.60
Fractional coordinates of all 11 atoms:
Dy1 0.176 0.097 0.338
Dy2 0.500 0.208 0.792
Dy3 0.500 0.792 0.208
Dy4 0.824 0.662 0.903
Sc1 0.000 0.690 0.310
Er1 0.500 0.000 0.000
Sc2 0.000 0.310 0.690
Dy5 0.293 0.570 0.570
Dy6 0.707 0.430 0.430
Dy7 0.176 0.338 0.097
Dy8 0.824 0.903 0.662

Values from the calculation:
* DOS at the Fermi energy: 16.206 states/eV/f.u.



two | Material: Dy8ErSc2
Method: DFT, PBE-GGA
State: optimized geometry

a b c (Å): 5.349 8.191 9.128
angles (deg): 116.66 107.04 90.00
Fractional coordinates of all 11 atoms:
Sc1 0.798 0.298 0.597
Dy1 0.358 0.153 0.715
Dy2 0.000 0.300 0.000
Dy3 0.642 0.847 0.285
Dy4 0.000 0.700 0.000
Dy5 0.642 0.438 0.285
Er1 0.500 0.000 0.000
Dy6 0.838 0.838 0.677
Dy7 0.358 0.562 0.715
Dy8 0.162 0.162 0.323
Sc2 0.202 0.702 0.403

Values from the calculation:
* DOS at the Fermi energy: 18.130 states/eV/f.u.



Stability, lowest: one



one | Material: Dy2Er2Sc3
Method: DFT, PBE-GGA
State: optimized geometry

a b c (Å): 4.817 5.896 7.653
angles (deg): 97.54 90.00 114.11
Fractional coordinates of all 7 atoms:
Sc1 0.643 0.286 0.428
Sc2 0.357 0.714 0.572
Er1 0.071 0.142 0.710
Dy1 0.788 0.576 0.854
Sc3 0.500 0.000 0.000
Er2 0.929 0.858 0.290
Dy2 0.212 0.424 0.146

Values from the calculation:
* DOS at the Fermi energy: 11.094 states/eV/f.u.



two | Material: Dy2Er2Sc3
Method: DFT, PBE-GGA
State: optimized geometry

a b c (Å): 8.043 8.043 8.043
angles (deg): 109.47 109.47 109.47
Fractional coordinates of all 14 atoms:
Dy1 0.000 0.000 0.820
Er1 0.918 0.500 0.000
Sc1 0.250 0.947 0.197
Dy2 0.320 0.500 0.000
Sc2 0.053 0.303 0.250
Sc3 0.803 0.250 0.553
Sc4 0.697 0.750 0.947
Er2 0.000 0.000 0.418
Sc5 0.750 0.553 0.303
Er3 0.500 0.418 0.500
Dy3 0.500 0.820 0.500
Sc6 0.447 0.197 0.750
Dy4 0.180 0.680 0.680
Er4 0.582 0.082 0.082

Values from the calculation:
* DOS at the Fermi energy: 10.336 states/eV/f.u.



Stability, lowest: two



one | Material: Dy7Er4Sc
Method: DFT, PBE-GGA
State: optimized geometry

a b c (Å): 5.764 11.544 6.585
angles (deg): 83.59 64.04 75.54
Site moments in Bohr magnetons follow the coordinates.
Fractional coordinates of all 12 atoms:
Dy1 0.208 0.074 0.511  0.03
Er1 0.640 0.225 0.494  0.00
Dy2 0.500 0.000 0.000  0.17
Sc1 0.000 0.000 0.000  0.23
Dy3 0.070 0.695 0.166  0.01
Er2 0.360 0.775 0.506  0.00
Er3 0.773 0.674 0.779  0.01
Dy4 0.792 0.926 0.489  0.03
Dy5 0.367 0.496 0.771  0.00
Er4 0.227 0.326 0.221  0.01
Dy6 0.633 0.504 0.229  0.00
Dy7 0.930 0.305 0.834  0.01

Values from the calculation:
* DOS at the Fermi energy: 19.983 states/eV/f.u.



two | Material: Dy7Er4Sc
Method: DFT, PBE-GGA
State: optimized geometry

a b c (Å): 6.712 8.606 8.986
angles (deg): 82.94 93.94 47.38
Fractional coordinates of all 12 atoms:
Er1 0.223 0.164 0.311
Er2 0.465 0.347 0.719
Er3 0.777 0.836 0.689
Dy1 0.743 0.502 0.952
Er4 0.535 0.653 0.281
Dy2 0.983 0.319 0.637
Sc1 0.000 0.000 0.000
Dy3 0.017 0.681 0.363
Dy4 0.705 0.191 0.382
Dy5 0.257 0.498 0.048
Dy6 0.500 0.000 0.000
Dy7 0.295 0.809 0.618

Values from the calculation:
* DOS at the Fermi energy: 21.387 states/eV/f.u.



Stability, lowest: one



one | Material: Dy2Er2Sc5
Method: DFT, PBE-GGA
State: optimized geometry

a b c (Å): 3.428 8.998 11.510
angles (deg): 131.23 74.35 110.83
Fractional coordinates of all 9 atoms:
Dy1 0.123 0.228 0.376
Sc1 0.683 0.822 0.373
Sc2 0.317 0.178 0.627
Er1 0.364 0.733 0.084
Er2 0.636 0.267 0.916
Dy2 0.877 0.772 0.624
Sc3 0.000 0.000 0.000
Sc4 0.064 0.565 0.763
Sc5 0.936 0.435 0.237

Values from the calculation:
* DOS at the Fermi energy: 14.659 states/eV/f.u.



two | Material: Dy2Er2Sc5
Method: DFT, PBE-GGA
State: optimized geometry

a b c (Å): 8.280 10.448 8.844
angles (deg): 126.21 117.91 90.00
Fractional coordinates of all 18 atoms:
Dy1 0.356 0.416 0.500
Sc1 0.907 0.386 0.199
Er1 0.521 0.870 0.788
Dy2 0.000 0.042 0.000
Er2 0.767 0.370 0.788
Sc2 0.965 0.295 0.500
Dy3 0.644 0.916 0.500
Er3 0.233 0.582 0.212
Sc3 0.438 0.154 0.750
Sc4 0.093 0.188 0.801
Sc5 0.792 0.886 0.199
Sc6 0.208 0.688 0.801
Sc7 0.812 0.654 0.750
Dy4 0.500 0.542 0.000
Sc8 0.188 0.904 0.250
Er4 0.479 0.082 0.212
Sc9 0.035 0.795 0.500
Sc10 0.562 0.404 0.250

Values from the calculation:
* DOS at the Fermi energy: 12.806 states/eV/f.u.



Stability, lowest: two



one | Material: Dy3Er6Sc
Method: DFT, PBE-GGA
State: optimized geometry

a b c (Å): 9.655 9.655 6.771
angles (deg): 44.52 44.52 60.00
Fractional coordinates of all 10 atoms:
Dy1 0.101 0.101 0.698
Er1 0.933 0.600 0.213
Er2 0.086 0.440 0.713
Er3 0.440 0.762 0.713
Er4 0.600 0.255 0.213
Dy2 0.360 0.360 0.919
Er5 0.762 0.086 0.713
Sc1 0.857 0.857 0.429
Dy3 0.608 0.608 0.177
Er6 0.255 0.933 0.213

Values from the calculation:
* DOS at the Fermi energy: 19.723 states/eV/f.u.



two | Material: Dy3Er6Sc
Method: DFT, PBE-GGA
State: optimized geometry

a b c (Å): 6.101 10.797 10.797
angles (deg): 119.92 90.00 90.00
Fractional coordinates of all 20 atoms:
Er1 0.362 0.537 0.958
Er2 0.538 0.289 0.382
Er3 0.038 0.382 0.289
Er4 0.926 0.049 0.951
Er5 0.640 0.280 0.720
Er6 0.362 0.042 0.463
Er7 0.862 0.463 0.042
Sc1 0.639 0.793 0.207
Er8 0.038 0.711 0.618
Dy1 0.956 0.723 0.944
Dy2 0.956 0.056 0.277
Er9 0.862 0.958 0.537
Er10 0.538 0.618 0.711
Sc2 0.139 0.207 0.793
Dy3 0.069 0.389 0.611
Dy4 0.569 0.611 0.389
Er11 0.426 0.951 0.049
Dy5 0.456 0.277 0.056
Dy6 0.456 0.944 0.723
Er12 0.140 0.720 0.280

Values from the calculation:
* DOS at the Fermi energy: 15.244 states/eV/f.u.



Stability, lowest: one